PrOsAu: optimized geometry, PBE-GGA.

Lattice parameters (Å, degrees): 6.734 6.734 6.734 90.00 90.00 90.00
Space group F-43m (No. 216)
Unique sites:
Pr (0.000, 0.000, 0.000) [4 per cell]
Os (0.250, 0.250, 0.250) [4 per cell]
Au (0.250, 0.250, 0.750) [4 per cell]

Calculated values
Spin magnetization in μB/cell: 1.72
Energy in eV per atom: -5.482

---

PrSi2OsAu: optimized geometry, PBE-GGA.

Lattice parameters (Å, degrees): 4.148 4.148 10.509 90.00 90.00 90.00
Space group I-4m2 (No. 119)
Unique sites:
Pr (0.000, 0.000, 0.000) [2 per cell]
Si (0.000, 0.000, 0.384) [4 per cell]
Os (0.000, 0.500, 0.250) [2 per cell]
Au (0.000, 0.500, 0.750) [2 per cell]

Calculated values
Spin magnetization in μB/cell: 0.01
Energy in eV per atom: -6.536

---

OsPt2Au: optimized geometry, PBE-GGA.

Lattice parameters (Å, degrees): 6.329 6.329 6.329 90.00 90.00 90.00
Space group F-43m (No. 216)
Unique sites:
Os (0.000, 0.000, 0.000) [4 per cell]
Pt (0.000, 0.000, 0.500) [4 per cell]
Pt (0.250, 0.250, 0.750) [4 per cell]
Au (0.250, 0.250, 0.250) [4 per cell]

Calculated values
Spin magnetization in μB/cell: 4.88
Energy in eV per atom: -6.143